The following is a PBE with a Hubbard U calculation of a relaxed YVClO4 crystal, from Alexandria.

Calculated values
Fermi-level density of states (states/eV/f.u.): 1.056
ρ (kg/m3): 3213
Crystal system: monoclinic
E_tot (eV per atom): -7.25

Cell lengths 6.4079, 6.4079, 6.7229 Å; angles 100.83, 100.83, 66.86 degrees
Sites, in units of the cell vectors:
1 Y 0.2475 0.2475 0.3790
2 Y 0.7525 0.7525 0.6210
3 V 0.1348 0.1348 0.7731
4 V 0.8652 0.8652 0.2269
5 Cl 0.4840 0.4840 0.6858
6 Cl 0.5160 0.5160 0.3142
7 O 0.0055 0.3807 0.6494
8 O 0.0314 0.0314 0.2749
9 O 0.1952 0.1952 0.0337
10 O 0.3807 0.0055 0.6494
11 O 0.6193 0.9945 0.3506
12 O 0.8048 0.8048 0.9663
13 O 0.9686 0.9686 0.7251
14 O 0.9945 0.6193 0.3506